Record 1
VASP calculation (PBE-GGA) on crystalline Li2Zn8Au at its relaxed geometry.

The structure belongs to space group C2/m (No. 12); the cell edges are 12.506, 4.467 and 7.006 Å and the angles 90.00°, 123.30° and 90.00°. Symmetry generates all atoms from Li at (0.230, 0.000, 0.299), Zn at (0.046, 0.000, 0.865), Zn at (0.099, 0.500, 0.243), Zn at (0.141, 0.000, 0.568), Zn at (0.188, 0.500, 0.981) and Au at (0.000, 0.500, 0.500).

Its energy is -1.712 eV/atom. The volume comes out at 327.1 Å³ per cell. As for the crystal system: monoclinic.

---

Record 2
VASP calculation (PBE-GGA) on crystalline LiZn3Au at its relaxed geometry.

The structure belongs to space group P2_1/c (No. 14); the cell edges are 6.665, 6.791 and 9.271 Å and the angles 90.00°, 133.75° and 90.00°. Symmetry generates all atoms from Li at (0.140, 0.122, 0.187), Zn at (0.069, 0.633, 0.127), Zn at (0.285, 0.092, 0.952), Zn at (0.481, 0.126, 0.717) and Au at (0.300, 0.668, 0.958).

Its energy is -2.046 eV/atom. For the energy above the most stable polymorph in this dataset, the calculation gives 37.9 meV per atom. The volume comes out at 303.1 Å³ per cell. As for the crystal system: monoclinic.

---

Record 3
VASP calculation (PBE-GGA) on crystalline Li4Zn2Au at its relaxed geometry.

The structure belongs to space group I-42d (No. 122); the cell edges are 7.799, 7.799 and 7.679 Å and the angles 90.00°, 90.00° and 90.00°. Symmetry generates all atoms from Li at (0.075, 0.177, 0.291), Zn at (0.115, 0.250, 0.625) and Au at (0.000, 0.000, 0.000).

Its energy is -2.092 eV/atom. The volume comes out at 467.1 Å³ per cell. As for the crystal system: tetragonal.

---

Record 4
VASP calculation (PBE-GGA) on crystalline Li6ZnAu at its relaxed geometry.

The structure belongs to space group Amm2 (No. 38); the cell edges are 4.676, 5.678 and 9.797 Å and the angles 90.00°, 90.00° and 90.00°. Symmetry generates all atoms from Li at (0.000, 0.000, 0.000), Li at (0.000, 0.239, 0.761), Li at (0.500, 0.000, 0.344), Li at (0.500, 0.243, 0.587), Zn at (0.000, 0.000, 0.507) and Au at (0.500, 0.000, 0.840).

Its energy is -2.238 eV/atom. The volume comes out at 260.1 Å³ per cell. As for the crystal system: orthorhombic.

---

Record 5
VASP calculation (PBE-GGA) on crystalline Li7ZnAu4 at its relaxed geometry.

The structure belongs to space group P-1 (No. 2); the cell edges are 4.969, 5.570 and 7.384 Å and the angles 78.60°, 70.89° and 89.60°. Symmetry generates all atoms from Li at (0.000, 0.000, 0.000), Li at (0.169, 0.414, 0.348), Li at (0.329, 0.846, 0.649), Li at (0.499, 0.247, 0.996), Zn at (0.000, 0.500, 0.000), Au at (0.180, 0.932, 0.317) and Au at (0.322, 0.351, 0.688).

Its energy is -2.746 eV/atom. For the energy above the most stable polymorph in this dataset, the calculation gives 0.0 meV per atom. The volume comes out at 188.9 Å³ per cell. As for the crystal system: triclinic.

---

Record 6
VASP calculation (PBE-GGA) on crystalline LiZn3Au12 at its relaxed geometry.

The structure belongs to space group P4/mmm (No. 123); the cell edges are 4.110, 4.110 and 16.218 Å and the angles 90.00°, 90.00° and 90.00°. Symmetry generates all atoms from Li at (0.000, 0.000, 0.000), Zn at (0.000, 0.000, 0.249), Zn at (0.000, 0.000, 0.500), Au at (0.000, 0.500, 0.123), Au at (0.000, 0.500, 0.374), Au at (0.500, 0.500, 0.000), Au at (0.500, 0.500, 0.249) and Au at (0.500, 0.500, 0.500).

Its energy is -2.991 eV/atom. The volume comes out at 274.0 Å³ per cell. As for the crystal system: tetragonal.

---

Record 7
VASP calculation (PBE-GGA) on crystalline Li5Zn2Au2 at its relaxed geometry.

The structure belongs to space group Cmce (No. 64); the cell edges are 12.956, 6.827 and 6.916 Å and the angles 90.00°, 90.00° and 90.00°. Symmetry generates all atoms from Li at (0.000, 0.000, 0.000), Li at (0.144, 0.181, 0.323), Zn at (0.000, 0.128, 0.629) and Au at (0.204, 0.000, 0.000).

Its energy is -2.313 eV/atom. For the energy above the most stable polymorph in this dataset, the calculation gives 80.1 meV per atom. The volume comes out at 611.7 Å³ per cell. As for the crystal system: orthorhombic.

---

Record 8
VASP calculation (PBE-GGA) on crystalline LiZnAu2 at its relaxed geometry.

The structure belongs to space group I-42d (No. 122); the cell edges are 3.965, 3.965 and 18.163 Å and the angles 90.00°, 90.00° and 90.00°. Symmetry generates all atoms from Li at (0.000, 0.000, 0.000), Zn at (0.000, 0.000, 0.500) and Au at (0.250, 0.250, 0.125).

Its energy is -2.616 eV/atom. The volume comes out at 285.5 Å³ per cell. As for the crystal system: tetragonal.